1.
The following is a DFT calculation (SCAN) of a PBEsol-optimized structure of TaMoOs2.

Properties
Raw total energy: -61.3020 eV per atom
E_form: 0.0051 eV/atom
Crystal system: tetragonal
Energy relative to the lowest polymorph listed for this composition: 0.072 eV per atom

abc: 4.5426 4.5426 2.9597
angles: 90.00 90.00 90.00
Element x y z (fractional)
Ta (0.0000, 0.0000, 0.0000)
Mo (0.5000, 0.5000, 0.0000)
Os (0.0000, 0.5000, 0.5000)
Os (0.5000, 0.0000, 0.5000)

---

2.
The following is a DFT calculation (SCAN) of a PBEsol-optimized structure of TiIrC3.

Properties
Raw total energy: -20.9983 eV per atom
E_form: 2.4873 eV/atom
Crystal system: cubic

abc: 3.8956 3.8956 3.8956
angles: 90.00 90.00 90.00
Element x y z (fractional)
Ti (0.0000, 0.0000, 0.0000)
Ir (0.5000, 0.5000, 0.5000)
C (0.0000, 0.0000, 0.5000)
C (0.0000, 0.5000, 0.0000)
C (0.5000, 0.0000, 0.0000)

---

3.
The following is a DFT calculation (SCAN) of a PBEsol-optimized structure of Zn3Fe8CoO16.

Properties
Raw total energy: -12.4016 eV per atom
ΔE_f (raw): -1.5949 eV per atom
Crystal system: tetragonal

abc: 5.6912 5.6912 8.0646
angles: 90.00 90.00 90.00
Element x y z (fractional)
Zn (0.0000, 0.0000, 0.0000)
Zn (0.0000, 0.5000, 0.7496)
Zn (0.5000, 0.0000, 0.2504)
Fe (0.0000, 0.2538, 0.3753)
Fe (0.0000, 0.7462, 0.3753)
Fe (0.2505, 0.5000, 0.1277)
Fe (0.2538, 0.0000, 0.6247)
Fe (0.5000, 0.2505, 0.8723)
Fe (0.5000, 0.7495, 0.8723)
Fe (0.7462, 0.0000, 0.6247)
Fe (0.7495, 0.5000, 0.1277)
Co (0.5000, 0.5000, 0.5000)
O (0.0000, 0.2220, 0.6117)
O (0.0000, 0.2767, 0.1392)
O (0.0000, 0.7233, 0.1392)
O (0.0000, 0.7780, 0.6117)
O (0.2220, 0.0000, 0.3883)
O (0.2295, 0.5000, 0.3651)
O (0.2759, 0.5000, 0.8900)
O (0.2767, 0.0000, 0.8608)
O (0.5000, 0.2295, 0.6349)
O (0.5000, 0.2759, 0.1100)
O (0.5000, 0.7241, 0.1100)
O (0.5000, 0.7705, 0.6349)
O (0.7233, 0.0000, 0.8608)
O (0.7241, 0.5000, 0.8900)
O (0.7705, 0.5000, 0.3651)
O (0.7780, 0.0000, 0.3883)

---

4.
The following is a DFT calculation (SCAN) of a PBEsol-optimized structure of Hg2PIrF.

Properties
Raw total energy: -43.5133 eV per atom
ΔE_f (raw): 0.7606 eV per atom
Crystal system: tetragonal

abc: 4.7968 4.7968 3.7773
angles: 90.00 90.00 90.00
Element x y z (fractional)
Hg (0.0000, 0.5000, 0.0000)
Hg (0.5000, 0.0000, 0.0000)
P (0.0000, 0.0000, 0.5000)
Ir (0.5000, 0.5000, 0.5000)
F (0.0000, 0.0000, 0.0000)

---

5.
The following is a DFT calculation (SCAN) of a PBEsol-optimized structure of Sr3NiOs.

Properties
Raw total energy: -29.9789 eV per atom
E_form: 0.9969 eV/atom
Crystal system: cubic

abc: 5.3050 5.3050 5.3050
angles: 90.00 90.00 90.00
Element x y z (fractional)
Sr (0.0000, 0.0000, 0.5000)
Sr (0.0000, 0.5000, 0.0000)
Sr (0.5000, 0.0000, 0.0000)
Ni (0.0000, 0.0000, 0.0000)
Os (0.5000, 0.5000, 0.5000)

---

6.
The following is a DFT calculation (SCAN) of a PBEsol-optimized structure of Cr2Ni3B6.

Properties
Raw total energy: -12.1359 eV per atom
E_form: -0.3299 eV/atom
Crystal system: orthorhombic

abc: 2.9076 10.0711 10.0711
angles: 16.80 90.00 90.00
Element x y z (fractional)
Cr (0.0000, 0.0000, 0.0000)
Cr (0.0000, 0.3830, 0.3830)
Ni (0.0000, 0.7644, 0.7644)
Ni (0.5000, 0.1889, 0.1889)
Ni (0.5000, 0.5825, 0.5825)
B (0.0000, 0.1081, 0.1081)
B (0.0000, 0.6596, 0.6596)
B (0.5000, 0.2934, 0.2934)
B (0.5000, 0.4745, 0.4745)
B (0.5000, 0.8395, 0.8395)
B (0.5000, 0.9259, 0.9259)

---

7.
The following is a DFT calculation (SCAN) of a PBEsol-optimized structure of Te2RhBr.

Properties
Raw total energy: -32.3527 eV per atom
ΔE_f (raw): -0.4194 eV per atom
Crystal system: monoclinic

abc: 4.0502 4.0502 7.5461
angles: 91.54 91.54 57.73
Element x y z (fractional)
Te (0.1766, 0.1766, 0.1676)
Te (0.8234, 0.8234, 0.8324)
Rh (0.5000, 0.5000, 0.0000)
Br (0.0000, 0.0000, 0.5000)

---

8.
The following is a DFT calculation (SCAN) of a PBEsol-optimized structure of La2AgOs.

Properties
Raw total energy: -47.5956 eV per atom
E_form: -0.2313 eV/atom
Crystal system: tetragonal

abc: 3.4573 3.4573 7.9798
angles: 90.00 90.00 90.00
Element x y z (fractional)
La (0.0000, 0.0000, 0.2216)
La (0.0000, 0.0000, 0.7784)
Ag (0.5000, 0.5000, 0.5000)
Os (0.5000, 0.5000, 0.0000)